# 1
Here is crystalline PaPt at its relaxed geometry from Alexandria. Energies are from PBE.

Lattice parameters (Å, degrees): 3.529 4.514 5.260 90.00 90.01 90.00
Fractional positions:
Pa 0.000 0.250 0.689
Pa 0.000 0.750 0.311
Pt 0.500 0.250 0.180
Pt 0.500 0.750 0.820

=====

# 2
Here is crystalline Cs2KVI6 at its relaxed geometry from Alexandria. Energies are from PBE.

Lattice parameters (Å, degrees): 8.724 8.724 8.724 60.00 60.00 90.00
Each line ends with the local moment (μB).
Fractional positions:
V 0.000 0.000 0.000  1.95
I 0.226 0.774 0.000  -0.03
I 0.774 0.774 0.451  -0.03
I 0.774 0.226 0.000  -0.03
I 0.774 0.774 0.000  -0.03
I 0.226 0.226 0.000  -0.03
I 0.226 0.226 0.549  -0.03
Cs 0.250 0.750 0.500  0.00
Cs 0.750 0.250 0.500  0.00
K 0.500 0.500 0.000  0.00

The value obtained for the uncorrected formation energy is -1.065 eV/atom.

=====

# 3
Here is crystalline LiCd3In2 at its relaxed geometry from Alexandria. Energies are from PBE.

Lattice parameters (Å, degrees): 6.010 7.511 7.511 120.79 90.00 90.00
Fractional positions:
Li 0.553 0.000 0.000
Li 0.053 0.000 0.000
Cd 0.553 0.224 0.776
Cd 0.303 0.330 0.330
Cd 0.053 0.776 0.224
Cd 0.053 0.224 0.776
Cd 0.553 0.776 0.224
Cd 0.803 0.670 0.670
In 0.303 0.588 0.816
In 0.303 0.816 0.588
In 0.803 0.184 0.412
In 0.803 0.412 0.184

For the distance to the lowest polymorph of the same formula, the calculation gives 0.0647 eV per atom.

=====

# 4
Here is crystalline MgRh2C2 at its relaxed geometry from Alexandria. Energies are from PBE.

Lattice parameters (Å, degrees): 6.307 6.307 2.807 90.00 90.00 90.00
Fractional positions:
Mg 0.000 0.000 0.000
Mg 0.500 0.500 0.000
C 0.329 0.829 0.000
C 0.829 0.671 0.000
C 0.671 0.171 0.000
C 0.171 0.329 0.000
Rh 0.342 0.158 0.500
Rh 0.842 0.342 0.500
Rh 0.158 0.658 0.500
Rh 0.658 0.842 0.500

For the distance to the lowest polymorph of the same formula, the calculation gives 0.4641 eV per atom.

=====

# 5
Here is crystalline CuPt6W at its relaxed geometry from Alexandria. Energies are from PBE.

Lattice parameters (Å, degrees): 3.965 3.965 7.768 90.00 90.00 90.00
Fractional positions:
Cu 0.000 0.000 0.000
Pt 0.500 0.500 0.000
Pt 0.500 0.000 0.747
Pt 0.500 0.000 0.253
Pt 0.000 0.500 0.747
Pt 0.000 0.500 0.253
Pt 0.500 0.500 0.500
W 0.000 0.000 0.500

=====

# 6
Here is crystalline CaPm3Pd3 at its relaxed geometry from Alexandria. Energies are from PBE.

Lattice parameters (Å, degrees): 7.125 7.125 7.258 91.04 91.04 97.62
Fractional positions:
Pd 0.493 0.995 0.724
Pd 0.938 0.938 0.195
Pd 0.995 0.493 0.724
Pd 0.507 0.005 0.276
Pd 0.062 0.062 0.805
Pd 0.005 0.507 0.276
Pm 0.343 0.343 0.626
Pm 0.752 0.248 0.000
Pm 0.822 0.178 0.500
Pm 0.248 0.752 0.000
Pm 0.657 0.657 0.374
Pm 0.178 0.822 0.500
Ca 0.738 0.738 0.877
Ca 0.262 0.262 0.123

=====

# 7
Here is crystalline CeTl2Ag2Se4 at its relaxed geometry from Alexandria. Energies are from PBE.

Lattice parameters (Å, degrees): 4.301 7.983 8.020 110.01 105.55 90.00
Each line ends with the local moment (μB).
Fractional positions:
Se 0.493 0.240 0.985  -0.01
Se 0.507 0.760 0.015  -0.01
Se 0.198 0.204 0.396  -0.01
Se 0.802 0.796 0.604  -0.01
Tl 0.137 0.576 0.274  0.00
Tl 0.863 0.424 0.726  0.00
Ce 0.000 0.000 0.000  0.19
Ag 0.681 0.986 0.361  0.00
Ag 0.319 0.014 0.639  0.00

The value obtained for the uncorrected formation energy is -0.757 eV/atom.

=====

# 8
Here is crystalline TlFe2Bi at its relaxed geometry from Alexandria. Energies are from PBE.

Lattice parameters (Å, degrees): 4.597 4.597 4.597 60.00 60.00 60.00
Fractional positions:
Tl 0.000 0.000 0.000
Fe 0.250 0.250 0.250
Fe 0.750 0.750 0.750
Bi 0.500 0.500 0.500

For the distance to the lowest polymorph of the same formula, the calculation gives 0.0391 eV per atom.

=====

Number 1: final energy -8.662 eV/atom, calculated density 16.9 g/cm³. Number 2: final energy -3.187 eV/atom, calculated density 4.0 g/cm³. Number 3: final energy -1.699 eV/atom, calculated density 6.5 g/cm³. Number 4: final energy -6.175 eV/atom, calculated density 7.6 g/cm³. Number 5: final energy -6.905 eV/atom, calculated density 19.3 g/cm³. Number 6: final energy -5.151 eV/atom, calculated density 7.2 g/cm³. Number 7: final energy -4.124 eV/atom, calculated density 7.2 g/cm³. Number 8: final energy -4.932 eV/atom, calculated density 12.7 g/cm³.